Density functional theory data (GGA+U) for an optimized crystal structure of BeFeGe2O6.

## Properties
V (A^3/atom): 11.687
Magnetic moment (μB per atom): 0.400
E_tot (eV/atom): -6.647
Density of states at the Fermi level (states/eV per cell): 0.0

Lattice parameters (Å, degrees): 5.376 6.861 6.861 88.68 74.10 74.10
Each line ends with the local moment (μB).
Element x y z (fractional)
O 0.451 0.843 0.354  0.02
O 0.533 0.586 0.695  0.00
O 0.169 0.976 0.799  0.04
O 0.967 0.305 0.414  0.00
O 0.831 0.024 0.201  0.04
O 0.049 0.646 0.157  0.02
O 0.669 0.799 0.976  0.04
O 0.549 0.157 0.646  0.02
O 0.951 0.354 0.843  0.02
O 0.467 0.414 0.305  0.00
O 0.033 0.695 0.586  0.00
O 0.331 0.201 0.024  0.04
Ge 0.313 0.780 0.600  0.01
Ge 0.187 0.400 0.220  0.01
Ge 0.813 0.600 0.780  0.01
Ge 0.687 0.220 0.400  0.01
Fe 0.750 0.111 0.889  3.78
Fe 0.250 0.889 0.111  3.78
Be 0.750 0.807 0.193  0.00
Be 0.250 0.193 0.807  0.00